Density functional theory data (PBE) for an optimized crystal structure of CoPtPb2W.

Summary:
The energy of formation from the pure elements is 1.049 eV per atom. For the uncorrected energy, the calculation gives -28.270 eV/f.u. The calculated density is 13.03 g/cm³. As for the crystal system: tetragonal. For the total magnetic moment, the calculation gives 0.248 μB per atom.

Lattice parameters (Å, degrees): 4.878 4.878 4.563 90.00 90.00 90.00
Space group P4/mmm (No. 123)
Unique sites:
1 Co 0.000 0.000 0.000
2 Pt 0.500 0.500 0.500
3 Pb 0.000 0.500 0.000
4 W 0.000 0.000 0.500



Density functional theory data (PBE) for an optimized crystal structure of PuCoPb.

Summary:
The energy of formation from the pure elements is 0.095 eV per atom. For the uncorrected energy, the calculation gives -24.861 eV/f.u. The calculated density is 12.31 g/cm³. As for the crystal system: cubic. For the total magnetic moment, the calculation gives 1.411 μB per atom.

Lattice parameters (Å, degrees): 6.506 6.506 6.506 90.00 90.00 90.00
Space group F-43m (No. 216)
Unique sites:
1 Pu 0.000 0.000 0.000
2 Co 0.250 0.250 0.750
3 Pb 0.000 0.000 0.500



Density functional theory data (PBE) for an optimized crystal structure of Pu4CoPb2.

Summary:
The energy of formation from the pure elements is 0.053 eV per atom. For the uncorrected energy, the calculation gives -71.480 eV/f.u. The calculated density is 12.06 g/cm³. As for the crystal system: tetragonal. For the total magnetic moment, the calculation gives 0.191 μB per atom.

Lattice parameters (Å, degrees): 4.867 4.867 16.846 90.00 90.00 90.00
Space group I4/mmm (No. 139)
Unique sites:
1 Pu 0.000 0.000 0.171
2 Pu 0.000 0.500 0.000
3 Co 0.000 0.000 0.000
4 Pb 0.000 0.000 0.361



Density functional theory data (PBE) for an optimized crystal structure of Rb2CoPb2.

Summary:
The energy of formation from the pure elements is 0.299 eV per atom. For the uncorrected energy, the calculation gives -14.964 eV/f.u. The calculated density is 6.46 g/cm³. As for the crystal system: tetragonal. For the total magnetic moment, the calculation gives 0.000 μB per atom.

Lattice parameters (Å, degrees): 7.159 7.159 6.466 90.00 90.00 90.00
Space group P4/mbm (No. 127)
Unique sites:
1 Rb 0.172 0.328 0.000
2 Co 0.000 0.000 0.500
3 Pb 0.178 0.678 0.500